[1]
An optimized crystal structure of SmSi4Rh12, computed with PBE.

Computed properties:
The electronic total energy is -6.945 eV/atom. As for the raw formation energy: -0.20 eV per atom. The space group is Im-3 (204).

Unit cell a=7.1185 b=7.1185 c=7.1185 alpha=109.47 beta=109.47 gamma=109.47
Closest atoms and distances in Å follow each position.
Atoms (fractional coordinates):
1 Sm 0.0000 0.0000 0.0000  12 Rh 3.07
2 Rh 0.6616 0.8183 0.1567  2 Si 2.31, 1 Rh 2.58
3 Rh 0.6616 0.5048 0.8433  2 Si 2.31, 1 Rh 2.58
4 Rh 0.1817 0.8433 0.3384  2 Si 2.31, 1 Rh 2.58
5 Rh 0.4952 0.1567 0.3384  2 Si 2.31, 1 Rh 2.58
6 Rh 0.8183 0.1567 0.6616  2 Si 2.31, 1 Rh 2.58
7 Rh 0.5048 0.8433 0.6616  2 Si 2.31, 1 Rh 2.58
8 Rh 0.1567 0.6616 0.8183  2 Si 2.31, 1 Rh 2.58
9 Rh 0.3384 0.1817 0.8433  2 Si 2.31, 1 Rh 2.58
10 Rh 0.3384 0.4952 0.1567  2 Si 2.31, 1 Rh 2.58
11 Rh 0.1567 0.3384 0.4952  2 Si 2.31, 1 Rh 2.58
12 Rh 0.8433 0.6616 0.5048  2 Si 2.31, 1 Rh 2.58
13 Rh 0.8433 0.3384 0.1817  2 Si 2.31, 1 Rh 2.58
14 Si 0.5000 0.5000 0.5000  6 Rh 2.31
15 Si 0.0000 0.5000 0.0000  6 Rh 2.31
16 Si 0.0000 0.0000 0.5000  6 Rh 2.31
17 Si 0.5000 0.0000 0.0000  6 Rh 2.31

[2]
An optimized crystal structure of SmSi2Rh6, computed with PBE.

Computed properties:
The electronic total energy is -6.809 eV/atom. As for the raw formation energy: -0.18 eV per atom. The space group is Fd-3m (227).

Unit cell a=7.7400 b=7.7400 c=7.7400 alpha=60.00 beta=60.00 gamma=60.00
Closest atoms and distances in Å follow each position.
Atoms (fractional coordinates):
1 Rh 0.0041 0.4959 0.4959  2 Si 2.34
2 Rh 0.7541 0.7541 0.2459  2 Si 2.34
3 Rh 0.7541 0.2459 0.2459  2 Si 2.34
4 Rh 0.0041 0.0041 0.4959  2 Si 2.34
5 Rh 0.2459 0.2459 0.7541  2 Si 2.34
6 Rh 0.7541 0.2459 0.7541  2 Si 2.34
7 Rh 0.2459 0.7541 0.2459  2 Si 2.34
8 Rh 0.2459 0.7541 0.7541  2 Si 2.34
9 Rh 0.4959 0.0041 0.4959  2 Si 2.34
10 Rh 0.4959 0.0041 0.0041  2 Si 2.34
11 Rh 0.0041 0.4959 0.0041  2 Si 2.34
12 Rh 0.4959 0.4959 0.0041  2 Si 2.34
13 Si 0.1250 0.6250 0.1250  6 Rh 2.34
14 Si 0.1250 0.1250 0.1250  6 Rh 2.34
15 Si 0.1250 0.1250 0.6250  6 Rh 2.34
16 Si 0.6250 0.1250 0.1250  6 Rh 2.34
17 Sm 0.5000 0.5000 0.5000  6 Rh 2.78
18 Sm 0.7500 0.7500 0.7500  6 Rh 2.78

[3]
An optimized crystal structure of Sm2Si2Rh5, computed with PBE.

Computed properties:
The electronic total energy is -7.193 eV/atom. As for the raw formation energy: -0.86 eV per atom. The space group is P4/mmm (123).

Unit cell a=4.1633 b=4.1633 c=8.9062 alpha=90.00 beta=90.00 gamma=90.00
Closest atoms and distances in Å follow each position.
Atoms (fractional coordinates):
1 Rh 0.0000 0.5000 0.2630  2 Si 2.35
2 Rh 0.0000 0.5000 0.7370  2 Si 2.35
3 Rh 0.5000 0.0000 0.2630  2 Si 2.35
4 Rh 0.5000 0.0000 0.7370  2 Si 2.35
5 Rh 0.5000 0.5000 0.5000  4 Sm 2.94, 8 Rh 2.96, 2 Si 3.19
6 Sm 0.0000 0.0000 0.0000  8 Rh 3.13, 8 Si 3.20
7 Sm 0.0000 0.0000 0.5000  12 Rh 2.94-2.96
8 Si 0.5000 0.5000 0.1416  4 Rh 2.35, 1 Si 2.52
9 Si 0.5000 0.5000 0.8584  4 Rh 2.35, 1 Si 2.52